No. 1
DFT (GGA-PBE) results for crystalline CeTc4Mo at its relaxed geometry.

Cell and atoms, written as extended XYZ:
```
6
Lattice="0.000 3.729 3.729 3.729 0.000 3.729 3.729 3.729 0.000" Properties=species:S:1:pos:R:3 pbc="T T T"
Ce 0.000 0.000 0.000
Tc 2.801 2.801 2.801
Tc 4.657 4.657 2.801
Tc 4.657 2.801 4.657
Tc 2.801 4.657 4.657
Mo 5.594 5.594 5.594
```

Calculated volume in A^3/atom: 17.286
Density in g/cm3: 10.1
DOS at the Fermi energy in states/eV/atom: 1.3603
Uncorrected energy in eV/atom: -9.49
Spin magnetization in Bohr magnetons per cell: 0.00

No. 2
DFT (GGA-PBE) results for crystalline TaNiAs2 at its relaxed geometry.

Cell and atoms, written as extended XYZ:
```
4
Lattice="2.842 0.000 0.000 0.000 3.974 0.000 -1.361 0.000 6.908" Properties=species:S:1:pos:R:3 pbc="T T T"
Ta 0.000 0.000 0.000
Ni 0.060 1.987 5.795
As 0.066 0.000 4.507
As 1.421 1.987 1.327
```

Calculated volume in A^3/atom: 19.508
Density in g/cm3: 8.3
DOS at the Fermi energy in states/eV/atom: 0.4564
Uncorrected energy in eV/atom: -6.94
Spin magnetization in Bohr magnetons per cell: 0.00

No. 3
DFT (GGA-PBE) results for crystalline K2CdHg at its relaxed geometry.

Cell and atoms, written as extended XYZ:
```
16
Lattice="9.621 0.000 0.000 0.000 9.621 0.000 0.000 0.000 7.003" Properties=species:S:1:pos:R:3 pbc="T T T"
K 2.295 2.405 0.875
K 2.405 7.105 2.626
K 2.405 7.326 6.128
K 2.516 2.405 4.377
K 7.105 7.216 4.377
K 7.216 2.295 6.128
K 7.216 2.516 2.626
K 7.326 7.216 0.875
Cd 0.000 0.000 3.502
Cd 0.000 4.810 5.253
Cd 4.810 0.000 1.751
Cd 4.810 4.810 0.000
Hg 0.000 0.000 0.000
Hg 0.000 4.810 1.751
Hg 4.810 0.000 5.253
Hg 4.810 4.810 3.502
```

Calculated volume in A^3/atom: 40.516
Density in g/cm3: 4.0
DOS at the Fermi energy in states/eV/atom: 0.7201
Uncorrected energy in eV/atom: -0.86
Spin magnetization in Bohr magnetons per cell: 0.00

No. 4
DFT (GGA-PBE) results for crystalline Li5ErAg6 at its relaxed geometry.

Cell and atoms, written as extended XYZ:
```
12
Lattice="-2.352 3.219 6.960 2.352 -3.219 6.960 2.352 3.219 -6.960" Properties=species:S:1:pos:R:3 pbc="T T T"
Li 0.000 0.000 0.000
Li 2.352 0.000 2.334
Li 0.000 0.000 4.711
Li 0.000 0.000 9.210
Li 0.000 3.219 4.627
Er 0.000 3.219 0.000
Ag 2.352 -1.685 4.514
Ag 2.352 1.446 0.000
Ag 0.000 1.534 2.447
Ag 2.352 1.685 4.514
Ag 0.000 1.773 6.960
Ag 0.000 4.903 2.447
```

Calculated volume in A^3/atom: 17.563
Density in g/cm3: 6.7
DOS at the Fermi energy in states/eV/atom: 0.3269
Uncorrected energy in eV/atom: -2.81
Spin magnetization in Bohr magnetons per cell: 0.00

No. 5
DFT (GGA-PBE) results for crystalline LaPu2Rh3 at its relaxed geometry.

Cell and atoms, written as extended XYZ:
```
6
Lattice="3.478 0.000 0.000 0.000 3.478 0.000 0.000 0.000 10.455" Properties=species:S:1:pos:R:3 pbc="T T T"
La 0.000 0.000 0.000
Pu 0.000 0.000 3.550
Pu 0.000 0.000 6.905
Rh 1.739 1.739 1.976
Rh 1.739 1.739 5.227
Rh 1.739 1.739 8.478
```

Calculated volume in A^3/atom: 21.073
Density in g/cm3: 12.3
DOS at the Fermi energy in states/eV/atom: 3.2509
Uncorrected energy in eV/atom: -9.76
Spin magnetization in Bohr magnetons per cell: 9.66

No. 6
DFT (GGA-PBE) results for crystalline Y2Cl at its relaxed geometry.

Cell and atoms, written as extended XYZ:
```
12
Lattice="12.333 0.000 0.000 0.000 3.586 0.000 -6.053 0.000 7.744" Properties=species:S:1:pos:R:3 pbc="T T T"
Y -1.378 0.000 3.251
Y -1.800 1.793 6.157
Y 1.913 0.000 1.587
Y 1.492 1.793 4.493
Y 4.788 1.793 3.251
Y 4.367 0.000 6.157
Y 8.080 1.793 1.587
Y 7.659 0.000 4.493
Cl -4.435 1.793 7.059
Cl 4.549 0.000 0.685
Cl 1.732 0.000 7.059
Cl 10.716 1.793 0.685
```

Calculated volume in A^3/atom: 28.542
Density in g/cm3: 4.1
DOS at the Fermi energy in states/eV/atom: 1.0386
Uncorrected energy in eV/atom: -5.74
Spin magnetization in Bohr magnetons per cell: 0.00
ΔE_f (raw) in eV per formula unit: -2.431

No. 7
DFT (GGA-PBE) results for crystalline MnHPd3 at its relaxed geometry.

Cell and atoms, written as extended XYZ:
```
20
Lattice="5.370 -4.449 0.000 5.370 4.449 0.000 -1.421 0.000 5.383" Properties=species:S:1:pos:R:3 pbc="T T T"
Mn 4.304 4.424 4.037
Mn 4.304 0.895 4.037
Mn 5.015 -0.895 1.346
Mn 5.015 -4.424 1.346
H 3.278 1.248 0.851
H 2.567 -1.248 3.543
H 6.753 1.248 1.840
H 6.042 -1.248 4.532
Pd 2.602 2.722 5.027
Pd 3.345 2.729 2.333
Pd 2.674 0.022 2.155
Pd 1.963 -0.022 4.846
Pd 6.685 2.729 0.359
Pd 6.007 2.722 3.048
Pd 3.312 -2.722 2.335
Pd 2.634 -2.729 5.025
Pd 7.356 0.022 0.537
Pd 6.646 -0.022 3.228
Pd 5.974 -2.729 3.050
Pd 6.718 -2.722 0.356
```

Calculated volume in A^3/atom: 12.862
Density in g/cm3: 9.7
DOS at the Fermi energy in states/eV/atom: 1.0903
Uncorrected energy in eV/atom: -5.57
Spin magnetization in Bohr magnetons per cell: 9.23

No. 8
DFT (GGA-PBE) results for crystalline PmScSnPb at its relaxed geometry.

Cell and atoms, written as extended XYZ:
```
16
Lattice="7.554 0.000 0.000 0.000 7.554 0.000 0.000 0.000 7.554" Properties=species:S:1:pos:R:3 pbc="T T T"
Pm 0.000 0.000 0.000
Pm 0.000 3.777 3.777
Pm 3.777 0.000 3.777
Pm 3.777 3.777 0.000
Sc 0.000 0.000 3.777
Sc 0.000 3.777 0.000
Sc 3.777 0.000 0.000
Sc 3.777 3.777 3.777
Sn 1.888 1.888 1.888
Sn 1.888 5.665 5.665
Sn 5.665 1.888 5.665
Sn 5.665 5.665 1.888
Pb 1.888 1.888 5.665
Pb 1.888 5.665 1.888
Pb 5.665 1.888 1.888
Pb 5.665 5.665 5.665
```

Calculated volume in A^3/atom: 26.937
Density in g/cm3: 8.0
DOS at the Fermi energy in states/eV/atom: 1.1351
Uncorrected energy in eV/atom: -5.11
Spin magnetization in Bohr magnetons per cell: 0.02

No. 9
DFT (GGA-PBE) results for crystalline KMn2SN at its relaxed geometry.

Cell and atoms, written as extended XYZ:
```
5
Lattice="3.816 0.000 0.000 0.000 3.816 0.000 0.000 0.000 5.838" Properties=species:S:1:pos:R:3 pbc="T T T"
K 0.000 0.000 0.000
Mn 0.000 1.908 2.919
Mn 1.908 0.000 2.919
S 1.908 1.908 0.000
N 1.908 1.908 2.919
```

Calculated volume in A^3/atom: 17.002
Density in g/cm3: 3.8
DOS at the Fermi energy in states/eV/atom: 1.7248
Uncorrected energy in eV/atom: -5.71
Spin magnetization in Bohr magnetons per cell: 0.51
ΔE_f (raw) in eV per formula unit: 3.363

No. 10
DFT (GGA-PBE) results for crystalline SbWSe2 at its relaxed geometry.

Cell and atoms, written as extended XYZ:
```
4
Lattice="5.556 0.000 0.000 0.000 3.259 0.000 -2.775 0.000 4.854" Properties=species:S:1:pos:R:3 pbc="T T T"
Sb 0.000 0.000 0.000
W 1.391 0.000 2.427
Se -0.279 1.630 3.386
Se 3.060 1.630 1.468
```

Calculated volume in A^3/atom: 21.975
Density in g/cm3: 8.8
DOS at the Fermi energy in states/eV/atom: 0.7553
Uncorrected energy in eV/atom: -5.92
Spin magnetization in Bohr magnetons per cell: 0.00
ΔE_f (raw) in eV per formula unit: 0.366

No. 11
DFT (GGA-PBE) results for crystalline IrWCl at its relaxed geometry.

Cell and atoms, written as extended XYZ:
```
12
Lattice="6.101 0.000 0.000 0.000 6.101 0.000 0.000 0.000 6.101" Properties=species:S:1:pos:R:3 pbc="T T T"
Ir 0.000 0.000 0.000
Ir 0.000 3.051 3.051
Ir 3.051 0.000 3.051
Ir 3.051 3.051 0.000
W 1.525 1.525 1.525
W 1.525 4.576 4.576
W 4.576 1.525 4.576
W 4.576 4.576 1.525
Cl 1.525 1.525 4.576
Cl 1.525 4.576 1.525
Cl 4.576 1.525 1.525
Cl 4.576 4.576 4.576
```

Calculated volume in A^3/atom: 18.929
Density in g/cm3: 12.0
DOS at the Fermi energy in states/eV/atom: 1.2338
Uncorrected energy in eV/atom: -6.77
Spin magnetization in Bohr magnetons per cell: 0.00
ΔE_f (raw) in eV per formula unit: 3.365

No. 12
DFT (GGA-PBE) results for crystalline YMn2S at its relaxed geometry.

Cell and atoms, written as extended XYZ:
```
16
Lattice="4.334 0.000 0.000 0.000 4.334 0.000 0.000 0.000 15.549" Properties=species:S:1:pos:R:3 pbc="T T T"
Y 0.000 0.000 0.000
Y 0.000 2.167 3.887
Y 2.167 0.000 11.662
Y 2.167 2.167 7.775
Mn 0.024 3.251 9.718
Mn 1.084 0.024 5.831
Mn 1.084 2.144 13.606
Mn 2.144 3.251 1.944
Mn 2.191 1.084 1.944
Mn 3.251 2.191 13.606
Mn 3.251 4.311 5.831
Mn 4.311 1.084 9.718
S 0.000 0.000 7.775
S 0.000 2.167 11.662
S 2.167 0.000 3.887
S 2.167 2.167 0.000
```

Calculated volume in A^3/atom: 18.257
Density in g/cm3: 5.2
DOS at the Fermi energy in states/eV/atom: 1.0529
Uncorrected energy in eV/atom: -7.32
Spin magnetization in Bohr magnetons per cell: 10.04
ΔE_f (raw) in eV per formula unit: -0.358